Entry 1:
## ZrPPd (PBE-GGA)

Data for a geometry-optimized ZrPPd structure.

Unit cell a=3.673 b=3.890 c=6.993 alpha=90.00 beta=90.00 gamma=90.00
Space group Pmmn (No. 59, origin choice 2)
Inequivalent atoms, fractional coordinates:
Zr  0.250  0.250  0.148 (multiplicity 2)
P  0.250  0.250  0.768 (multiplicity 2)
Pd  0.250  0.750  0.457 (multiplicity 2)

- DFT formation energy (eV per atom) = -1.008
- D(E_F) (states/eV/atom) = 0.5605

Entry 2:
## Pr4CdCu (PBE-GGA)

Data for a geometry-optimized Pr4CdCu structure.

Unit cell a=6.466 b=9.243 c=6.240 alpha=90.00 beta=105.22 gamma=90.00
Space group P2_1/c (No. 14)
Inequivalent atoms, fractional coordinates:
Pr  0.105  0.171  0.123 (multiplicity 4)
Pr  0.376  0.654  0.931 (multiplicity 4)
Cd  0.500  0.000  0.000 (multiplicity 2)
Cu  0.000  0.000  0.500 (multiplicity 2)

- DFT formation energy (eV per atom) = 0.014
- D(E_F) (states/eV/atom) = 1.0155

Entry 3:
## RbAlSbOs2 (PBE-GGA)

Data for a geometry-optimized RbAlSbOs2 structure.

Unit cell a=4.883 b=4.883 c=5.047 alpha=90.00 beta=90.00 gamma=90.00
Space group P4/mmm (No. 123)
Inequivalent atoms, fractional coordinates:
Rb  0.000  0.000  0.000 (multiplicity 1)
Al  0.000  0.000  0.500 (multiplicity 1)
Sb  0.500  0.500  0.500 (multiplicity 1)
Os  0.000  0.500  0.000 (multiplicity 2)

- D(E_F) (states/eV/atom) = 1.1069
- uncorrected formation energy (kJ per mole of atoms) = 302.3

Entry 4:
## Pr3Y3Ga4 (PBE-GGA)

Data for a geometry-optimized Pr3Y3Ga4 structure.

Unit cell a=4.421 b=10.933 c=11.136 alpha=90.00 beta=90.00 gamma=90.00
Space group Amm2 (No. 38)
Inequivalent atoms, fractional coordinates:
Pr  0.000  0.000  0.000 (multiplicity 2)
Pr  0.500  0.246  0.079 (multiplicity 4)
Y  0.000  0.000  0.651 (multiplicity 2)
Y  0.000  0.174  0.331 (multiplicity 4)
Ga  0.500  0.000  0.220 (multiplicity 2)
Ga  0.500  0.000  0.451 (multiplicity 2)
Ga  0.500  0.119  0.824 (multiplicity 4)

- DFT formation energy (eV per atom) = -0.484
- D(E_F) (states/eV/atom) = 1.0915

Entry 5:
## Ba2CdOs (PBE-GGA)

Data for a geometry-optimized Ba2CdOs structure.

Unit cell a=3.818 b=3.818 c=9.348 alpha=90.00 beta=90.00 gamma=90.00
Space group P4mm (No. 99)
Inequivalent atoms, fractional coordinates:
Ba  0.000  0.000  0.000 (multiplicity 1)
Ba  0.500  0.500  0.434 (multiplicity 1)
Cd  0.000  0.000  0.666 (multiplicity 1)
Os  0.500  0.500  0.761 (multiplicity 1)

- DFT formation energy (eV per atom) = 0.497
- D(E_F) (states/eV/atom) = 0.5500

Entry 6:
## PmAl4Ag2Pt (PBE-GGA)

Data for a geometry-optimized PmAl4Ag2Pt structure.

Unit cell a=4.3972 b=4.3972 c=26.8913 alpha=90.00 beta=90.00 gamma=120.00
Space group R-3m (No. 166, hexagonal axes)
Inequivalent atoms, fractional coordinates:
Pm  0.0000  0.0000  0.0000 (multiplicity 3)
Al  0.0000  0.0000  0.1333 (multiplicity 6)
Al  0.0000  0.0000  0.4036 (multiplicity 6)
Ag  0.0000  0.0000  0.2470 (multiplicity 6)
Pt  0.0000  0.0000  0.5000 (multiplicity 3)

- DFT formation energy (eV per atom) = -0.450
- D(E_F) (states/eV/atom) = 0.3750